A geometry-optimized TlCrIr2 structure. Source: the Alexandria database, functional PBEsol.

Unit cell a=2.802 b=2.802 c=9.257 alpha=81.30 beta=81.30 gamma=60.00
Positions (direct):
Ir 0.738 0.738 0.786
Tl 0.500 0.500 0.500
Ir 0.262 0.262 0.214
Cr 0.000 0.000 0.000

The calculation puts the formation energy at 0.35 eV/atom. The density of states at the Fermi level comes out at 4.24 states/eV/f.u. For the energy, the calculation gives -7.785 eV per atom.